A) Here is a geometry-optimized Te2IrAuN structure from Alexandria via LeMat-Bulk. Energies are from PBE.

POSCAR file:
```
Te2IrAuN
1.0
-0.032 -5.503 -0.126
4.711 0.038 -2.847
1.900 -0.083 3.142
Te Au Ir N
2 1 1 1
Cartesian
2.355 0.019 -1.424
-0.016 -2.751 -0.063
0.000 0.000 0.000
3.289 -2.774 0.084
0.950 -0.042 1.571
```

B) Here is a geometry-optimized Te2IrAuN structure from Alexandria via LeMat-Bulk. Energies are from PBE.

POSCAR file:
```
Te2IrAuN
1.0
-3.798 -3.009 -2.639
-1.626 -2.165 4.808
-2.410 2.692 0.397
Te N Au Ir
2 1 1 1
Cartesian
-1.899 -1.505 -1.320
-0.813 -1.082 2.404
-1.205 1.346 0.199
-3.917 -1.241 1.283
0.000 0.000 0.000
```

Which is most stable, and by how much? B), by 1.034 eV/atom.

A) Here is a geometry-optimized Nb2Ir2Au structure from Alexandria via LeMat-Bulk. Energies are from PBE.

POSCAR file:
```
Nb2Ir2Au
1.0
7.871 0.000 0.000
0.000 7.871 0.000
0.000 0.000 2.848
Nb Ir Au
4 4 2
Cartesian
2.726 6.661 0.000
5.144 1.209 0.000
1.209 2.726 0.000
6.661 5.144 0.000
1.082 5.017 1.424
2.853 1.082 1.424
6.788 2.853 1.424
5.017 6.788 1.424
0.000 0.000 0.000
3.935 3.935 0.000
```

B) Here is a geometry-optimized Nb2Ir2Au structure from Alexandria via LeMat-Bulk. Energies are from PBE.

POSCAR file:
```
Nb2Ir2Au
1.0
-6.522 2.209 -3.417
-4.069 -3.510 5.497
0.007 2.459 1.576
Nb Ir Au
4 4 2
Cartesian
-3.770 -0.740 3.878
-6.813 1.897 -0.222
-7.729 -0.237 3.112
-2.854 1.394 0.544
-8.234 -0.297 0.502
-5.939 -2.235 3.516
-4.652 0.934 -1.435
-2.356 -1.004 1.578
0.000 0.000 0.000
-5.295 -0.651 1.040
```

Which is most stable, and by how much? B), by 0.156 eV/atom.

A) Here is a geometry-optimized Nb3IrAu structure from Alexandria via LeMat-Bulk. Energies are from PBE.

POSCAR file:
```
Nb3IrAu
1.0
4.866 0.000 0.000
0.000 4.866 0.000
0.000 0.000 4.866
Nb Au Ir
3 1 1
Cartesian
2.433 0.000 0.000
0.000 2.433 0.000
0.000 0.000 2.433
0.000 0.000 0.000
2.433 2.433 2.433
```

B) Here is a geometry-optimized Nb3IrAu structure from Alexandria via LeMat-Bulk. Energies are from PBE.

POSCAR file:
```
Nb3IrAu
1.0
4.839 0.000 0.000
0.000 4.839 0.000
0.000 0.000 4.839
Nb Ir Au
3 1 1
Cartesian
0.000 2.419 0.000
2.419 0.000 0.000
0.000 0.000 2.419
0.000 0.000 0.000
2.419 2.419 2.419
```

Which is most stable, and by how much? B), by 0.932 eV/atom.

A) Here is a geometry-optimized NbIr3Au structure from Alexandria via LeMat-Bulk. Energies are from PBE.

POSCAR file:
```
NbIr3Au
1.0
4.772 0.000 0.000
0.000 4.772 0.000
0.000 0.000 4.772
Ir Au Nb
3 1 1
Cartesian
0.000 2.386 0.000
0.000 0.000 2.386
2.386 0.000 0.000
0.000 0.000 0.000
2.386 2.386 2.386
```

B) Here is a geometry-optimized NbIr3Au structure from Alexandria via LeMat-Bulk. Energies are from PBE.

POSCAR file:
```
NbIr3Au
1.0
4.756 0.000 0.000
0.000 4.756 0.000
0.000 0.000 4.756
Ir Au Nb
3 1 1
Cartesian
0.000 2.378 0.000
2.378 0.000 0.000
0.000 0.000 2.378
2.378 2.378 2.378
0.000 0.000 0.000
```

Which is most stable, and by how much? B), by 0.635 eV/atom.

A) Here is a geometry-optimized NbIrAu2 structure from Alexandria via LeMat-Bulk. Energies are from PBE.

POSCAR file:
```
NbIrAu2
1.0
-4.552 5.511 -2.214
-2.358 -4.237 -5.699
-5.394 -0.349 -2.422
Ir Au Nb
2 4 2
Cartesian
0.000 0.000 0.000
-6.701 2.900 -4.296
-10.102 0.836 -8.763
-6.628 0.233 -4.761
-3.373 -2.069 -4.435
-4.507 2.850 -2.710
-3.455 0.637 -3.956
-5.604 -1.974 -6.039
```

B) Here is a geometry-optimized NbIrAu2 structure from Alexandria via LeMat-Bulk. Energies are from PBE.

POSCAR file:
```
NbIrAu2
1.0
0.000 3.240 3.240
3.240 0.000 3.240
3.240 3.240 0.000
Ir Au Nb
1 2 1
Cartesian
3.240 3.240 3.240
4.860 4.860 4.860
1.620 1.620 1.620
0.000 0.000 0.000
```

Which is most stable, and by how much? B), by 0.352 eV/atom.

A) Here is a geometry-optimized NbIrAu3 structure from Alexandria via LeMat-Bulk. Energies are from PBE.

POSCAR file:
```
NbIrAu3
1.0
-2.570 -4.305 -0.246
4.282 -2.513 -0.743
0.514 -0.590 4.958
Ir Au Nb
1 3 1
Cartesian
1.113 -3.704 1.985
0.257 -0.295 2.479
-1.285 -2.153 -0.123
2.141 -1.257 -0.371
0.000 0.000 0.000
```

B) Here is a geometry-optimized NbIrAu3 structure from Alexandria via LeMat-Bulk. Energies are from PBE.

POSCAR file:
```
NbIrAu3
1.0
-0.935 4.766 1.080
-1.141 -1.282 4.670
4.752 0.630 1.334
Au Ir Nb
3 1 1
Cartesian
-0.571 -0.641 2.335
-0.468 2.383 0.540
2.376 0.315 0.667
0.000 0.000 0.000
1.338 2.057 3.542
```

Which is most stable, and by how much? B), by 0.435 eV/atom.

A) Here is a geometry-optimized NbIr2Au structure from Alexandria via LeMat-Bulk. Energies are from PBE.

POSCAR file:
```
NbIr2Au
1.0
-5.632 -2.658 -3.608
0.092 -5.862 4.175
-4.507 -3.012 2.075
Ir Au Nb
4 2 2
Cartesian
-8.231 -9.542 1.929
-1.939 -4.828 2.571
-4.469 -3.069 -1.108
-5.455 -5.627 1.892
-6.455 -4.965 -0.625
0.000 0.000 0.000
-3.592 -6.567 3.267
-2.770 -4.260 0.283
```

B) Here is a geometry-optimized NbIr2Au structure from Alexandria via LeMat-Bulk. Energies are from PBE.

POSCAR file:
```
NbIr2Au
1.0
2.322 -3.278 2.064
-2.185 -3.487 1.861
0.275 -4.099 -1.877
Ir Nb Au
2 1 1
Cartesian
0.103 -2.716 0.512
0.309 -8.148 1.537
0.000 0.000 0.000
0.206 -5.432 1.025
```

Which is most stable, and by how much? B), by 0.318 eV/atom.

A) Here is a geometry-optimized Nd6Ir3Au structure from Alexandria via LeMat-Bulk. Energies are from PBE.

POSCAR file:
```
Nd6Ir3Au
1.0
-2.941 1.474 -6.542
8.021 -1.485 -3.940
-4.042 -8.107 -0.009
Nd Ir Au
12 6 2
Cartesian
4.908 -2.845 -3.773
-3.064 -5.677 -4.925
-4.675 -7.635 -1.794
-0.640 -7.635 -3.221
5.622 -0.438 -8.899
2.488 -5.955 -3.872
1.160 -2.754 -2.554
0.335 -5.593 -6.921
1.864 -0.576 -6.855
3.263 -3.948 -8.244
-0.993 -2.392 -5.603
-2.039 -4.263 -1.833
-0.937 -7.127 -9.146
-3.453 -1.059 -6.647
3.190 -6.406 -6.740
0.673 -0.338 -4.241
0.586 -2.820 -8.186
-0.366 -4.887 -4.126
-4.944 -5.531 -7.173
4.545 -1.867 -6.515
```

B) Here is a geometry-optimized Nd6Ir3Au structure from Alexandria via LeMat-Bulk. Energies are from PBE.

POSCAR file:
```
Nd6Ir3Au
1.0
-4.213 0.361 0.237
-0.456 -9.794 6.818
1.226 9.594 7.146
Ir Nd Au
6 12 2
Cartesian
-3.152 -0.656 1.736
-0.292 0.817 12.464
-2.851 -1.669 8.628
-2.356 3.691 9.244
-0.594 1.830 5.573
-1.088 -3.530 4.956
-3.288 -3.162 3.128
-0.290 4.265 7.255
-3.154 -4.104 6.946
-0.886 -0.090 3.310
-2.641 1.501 7.521
-0.780 -3.229 9.962
-2.664 3.390 4.239
-2.558 0.251 10.891
-0.156 3.323 11.073
0.018 8.083 6.912
-0.803 -1.340 6.680
-3.462 -7.922 7.289
-1.104 -6.083 8.570
-2.340 6.244 5.631
```

Which is most stable, and by how much? B), by 0.063 eV/atom.

A) Here is a geometry-optimized Nd8IrAu2 structure from Alexandria via LeMat-Bulk. Energies are from PBE.

POSCAR file:
```
Nd8IrAu2
1.0
-5.999 -0.584 2.012
4.185 -7.567 2.971
2.132 8.749 1.583
Au Nd Ir
2 8 1
Cartesian
0.012 3.927 2.865
0.918 -3.270 3.478
2.518 2.530 3.963
-3.536 4.996 3.733
-1.780 -2.085 2.850
-2.298 2.027 2.500
2.979 -1.137 4.275
1.121 0.246 1.233
-2.275 -5.020 4.585
-0.242 0.374 4.749
-1.611 -0.138 0.760
```

B) Here is a geometry-optimized Nd8IrAu2 structure from Alexandria via LeMat-Bulk. Energies are from PBE.

POSCAR file:
```
Nd8IrAu2
1.0
5.187 0.000 0.000
0.000 7.022 0.548
-2.593 -2.354 8.739
Nd Au Ir
8 2 1
Cartesian
0.000 -1.382 5.982
2.593 2.666 1.763
2.593 3.334 5.553
2.593 -0.704 8.375
0.000 1.334 3.734
2.593 6.050 3.306
0.000 5.372 0.913
0.000 2.003 7.525
2.594 0.376 5.520
0.000 4.292 3.767
2.593 0.000 0.000
```

Which is most stable, and by how much? B), by 0.066 eV/atom.

A) Here is a geometry-optimized TbNdIrAu structure from Alexandria via LeMat-Bulk. Energies are from PBE.

POSCAR file:
```
TbNdIrAu
1.0
-1.741 4.751 -0.049
-1.059 2.351 4.354
2.942 3.789 1.610
Au Tb Ir Nd
1 1 1 1
Cartesian
0.000 0.000 0.000
0.035 2.723 1.479
0.071 5.446 2.957
0.106 8.168 4.436
```

B) Here is a geometry-optimized TbNdIrAu structure from Alexandria via LeMat-Bulk. Energies are from PBE.

POSCAR file:
```
TbNdIrAu
1.0
3.890 0.000 0.000
0.000 4.581 0.000
-1.945 0.000 5.360
Ir Au Nd Tb
1 1 1 1
Cartesian
0.000 0.000 4.404
1.945 2.291 0.880
0.000 0.000 1.533
1.945 2.291 3.904
```

Which is most stable, and by how much? B), by 0.034 eV/atom.

A) Here is a geometry-optimized NdThIrAu structure from Alexandria via LeMat-Bulk. Energies are from PBE.

POSCAR file:
```
NdThIrAu
1.0
-0.997 -3.370 -1.906
3.832 -1.567 0.767
-1.491 -0.650 6.123
Au Nd Ir Th
1 1 1 1
Cartesian
1.097 -2.845 0.264
-0.600 -0.704 1.559
-1.582 -1.857 4.110
-0.059 -4.202 3.268
```

B) Here is a geometry-optimized NdThIrAu structure from Alexandria via LeMat-Bulk. Energies are from PBE.

POSCAR file:
```
NdThIrAu
1.0
-1.718 -3.048 3.772
2.835 -0.699 4.236
-1.511 2.045 4.473
Ir Au Th Nd
1 1 1 1
Cartesian
-0.197 -0.851 6.240
0.000 0.000 0.000
-0.295 -1.277 9.361
-0.098 -0.426 3.120
```

Which is most stable, and by how much? A), by 0.193 eV/atom.

A) Here is a geometry-optimized NiIrAu2 structure from Alexandria via LeMat-Bulk. Energies are from PBE.

POSCAR file:
```
NiIrAu2
1.0
4.875 0.000 0.009
4.057 2.703 0.009
1.003 0.304 4.725
Au Ir Ni
2 1 1
Cartesian
7.491 2.267 3.523
8.865 2.683 0.051
5.062 1.532 2.295
2.417 0.731 1.264
```

B) Here is a geometry-optimized NiIrAu2 structure from Alexandria via LeMat-Bulk. Energies are from PBE.

POSCAR file:
```
NiIrAu2
1.0
-4.277 0.870 0.911
-2.870 0.792 -3.319
-3.146 -3.000 -0.991
Au Ir Ni
2 1 1
Cartesian
-2.573 -0.334 -0.850
-7.720 -1.003 -2.549
-5.146 -0.669 -1.699
0.000 0.000 0.000
```

Which is most stable, and by how much? A), by 0.140 eV/atom.

A) Here is a geometry-optimized NiIrAu2 structure from Alexandria via LeMat-Bulk. Energies are from PBE.

POSCAR file:
```
NiIrAu2
1.0
-1.393 -1.905 -2.959
2.838 -2.489 0.267
-4.470 -7.490 4.508
Ni Au Ir
2 4 2
Cartesian
0.723 -2.197 -1.346
-0.454 -6.088 1.714
-1.632 -3.372 -0.685
-2.091 -9.460 1.025
-2.807 -7.269 2.372
0.481 -3.669 0.920
-2.570 -5.796 0.102
0.000 0.000 0.000
```

B) Here is a geometry-optimized NiIrAu2 structure from Alexandria via LeMat-Bulk. Energies are from PBE.

POSCAR file:
```
NiIrAu2
1.0
4.849 -0.001 -0.010
4.035 2.688 -0.010
0.888 0.269 4.766
Au Ir Ni
2 1 1
Cartesian
8.861 2.679 0.000
4.910 1.485 2.352
7.329 2.216 3.559
2.443 0.739 1.186
```

Which is most stable, and by how much? B), by 0.305 eV/atom.